Density functional theory data (GGA-PBE) for Ac2CrAs4Pd3 after structural relaxation.

The structure in extended XYZ format:
```
10
Lattice="-4.449 -0.333 -0.627 0.308 -4.491 0.196 -1.461 0.344 10.185" Properties=species:S:1:pos:R:3 pbc="T T T"
Ac -2.581 -0.083 2.170
Ac -0.950 -1.986 7.800
Cr -2.801 -2.240 4.877
As -2.071 -2.412 -0.216
As 0.000 0.000 0.000
As -3.145 0.050 6.107
As -0.386 -2.118 3.863
Pd -0.730 0.172 5.093
Pd -3.512 0.136 8.661
Pd -0.019 -2.205 1.308
```

## Properties
- ΔH_f (0 K): -825 meV per atom
- Calculated density: 8.9 Mg/m³

Density functional theory data (GGA-PBE) for Ac2CrAs4Pt3 after structural relaxation.

The structure in extended XYZ format:
```
10
Lattice="-1.471 3.569 -2.348 -4.102 -0.486 1.832 2.707 6.181 7.699" Properties=species:S:1:pos:R:3 pbc="T T T"
Ac -0.070 3.305 0.720
Ac -0.009 4.418 6.721
Cr -1.433 4.632 3.591
As -2.787 1.542 -0.258
As 0.000 0.000 0.000
As 0.970 5.678 3.676
As -1.049 2.044 3.765
Pt 1.354 3.090 3.849
Pt 1.654 7.242 5.623
Pt -1.734 0.481 1.818
```

## Properties
- ΔH_f (0 K): -850 meV per atom
- Calculated density: 11.1 Mg/m³

Density functional theory data (GGA-PBE) for AcCrAs2Rh5 after structural relaxation.

The structure in extended XYZ format:
```
9
Lattice="4.129 0.000 0.000 0.000 4.129 0.000 0.000 0.000 11.960" Properties=species:S:1:pos:R:3 pbc="T T T"
Ac 2.064 2.064 5.980
Cr 0.000 0.000 0.000
As 0.000 0.000 9.470
As 0.000 0.000 2.490
Rh 0.000 0.000 5.980
Rh 0.000 2.064 8.224
Rh 2.064 0.000 3.736
Rh 0.000 2.064 3.736
Rh 2.064 0.000 8.224
```

## Properties
- ΔH_f (0 K): 10 meV per atom
- Calculated density: 7.7 Mg/m³

Density functional theory data (GGA-PBE) for Ac2CrAs4Rh3 after structural relaxation.

The structure in extended XYZ format:
```
10
Lattice="4.384 0.000 0.000 0.000 4.384 0.000 0.000 0.000 10.333" Properties=species:S:1:pos:R:3 pbc="T T T"
Ac 2.192 0.000 2.511
Ac 0.000 2.192 7.822
Cr 2.192 2.192 5.167
As 2.192 2.192 0.000
As 0.000 0.000 0.000
As 2.192 0.000 6.549
As 0.000 2.192 3.785
Rh 0.000 0.000 5.167
Rh 2.192 0.000 9.118
Rh 0.000 2.192 1.215
```

## Properties
- ΔH_f (0 K): -843 meV per atom
- Calculated density: 9.3 Mg/m³

Density functional theory data (GGA-PBE) for CsAc2As after structural relaxation.

The structure in extended XYZ format:
```
4
Lattice="-1.287 0.629 -4.622 1.285 -5.175 -1.061 -5.081 -1.510 1.209" Properties=species:S:1:pos:R:3 pbc="T T T"
Cs -0.643 0.314 -2.311
Ac -2.540 -0.755 0.604
Ac 0.643 -2.587 -0.531
As -2.541 -3.028 -2.237
```

## Properties
- ΔH_f (0 K): -11 meV per atom
- Calculated density: 7.7 Mg/m³

Density functional theory data (GGA-PBE) for CsAcAs4 after structural relaxation.

The structure in extended XYZ format:
```
6
Lattice="-2.594 2.033 -5.042 -5.468 -1.972 -1.580 -4.746 3.694 0.333" Properties=species:S:1:pos:R:3 pbc="T T T"
Cs -3.202 0.939 -1.573
Ac 0.000 0.000 0.000
As -5.612 0.465 -4.122
As -5.242 3.369 -3.141
As -8.045 2.358 -3.951
As -6.716 1.317 -1.367
```

## Properties
- ΔH_f (0 K): -318 meV per atom
- Calculated density: 7.1 Mg/m³